Record 1
An optimized crystal structure of Ac4CeTe7. Source: Alexandria via LeMat-Bulk, functional PBE-GGA.

a = 15.4982 Å, b = 4.5879 Å, c = 13.7773 Å
α = 90.00°, β = 105.16°, γ = 90.00°
With the nearest neighbours (Å) after each atom.
Space group Cm (No. 8)
Unique sites:
Ac: 0.0000 0.0000 0.0000  6 Te 3.24-3.38
Ac: 0.0967 0.5000 0.3819  7 Te 3.36-3.51
Ac: 0.2008 0.0000 0.7733  7 Te 3.30-3.61
Ac: 0.3967 0.5000 0.5625  6 Te 3.25-3.34
Ce: 0.2707 0.5000 0.1422  6 Te 3.18-3.27
Te: 0.0585 0.5000 0.6218  5 Ac 3.34-3.51
Te: 0.1248 0.5000 0.9229  1 Ce 3.27, 4 Ac 3.35-3.49
Te: 0.1583 0.0000 0.2221  2 Ce 3.24, 3 Ac 3.38-3.48
Te: 0.2352 0.0000 0.5245  5 Ac 3.33-3.61
Te: 0.3559 0.5000 0.7821  4 Ac 3.24-3.30
Te: 0.3623 0.0000 0.0441  2 Ce 3.18, 2 Ac 3.30
Te: 0.4331 0.5000 0.3386  1 Ce 3.18, 3 Ac 3.28-3.36

Computed properties:
DOS(E_F)	19.8	states/eV/cell
total energy	-125.18	eV for the cell shown
formation energy without anion corrections	-1.519	eV per atom


Record 2
An optimized crystal structure of Ac2CeTe4. Source: Alexandria via LeMat-Bulk, functional PBE-GGA.

a = 4.5143 Å, b = 15.6625 Å, c = 15.6870 Å
α = 90.00°, β = 90.00°, γ = 90.00°
With the nearest neighbours (Å) after each atom.
Space group Cmcm (No. 63)
Unique sites:
Ac: 0.0000 0.1326 0.0724  6 Te 3.27-3.40
Ce: 0.0000 0.3746 0.2500  6 Te 3.23-3.32
Te: 0.0000 0.0220 0.2500  2 Ce 3.23, 2 Ac 3.28
Te: 0.0000 0.2192 0.6263  2 Ce 3.32, 3 Ac 3.35-3.40
Te: 0.0000 0.5000 0.0000  4 Ac 3.27

Computed properties:
DOS(E_F)	33.2	states/eV/cell
total energy	-147.16	eV for the cell shown
formation energy without anion corrections	-1.439	eV per atom


Record 3
An optimized crystal structure of Ac2CeTe5. Source: Alexandria via LeMat-Bulk, functional PBE-GGA.

a = 9.3562 Å, b = 13.1828 Å, c = 6.6855 Å
α = 90.00°, β = 134.34°, γ = 90.00°
With the nearest neighbours (Å) after each atom.
Space group Cm (No. 8)
Unique sites:
Ac: 0.0000 0.2331 0.0000  7 Te 3.34-3.52
Ce: 0.0509 0.0000 0.5774  5 Te 3.10-3.25
Te: 0.9999 0.2383 0.4998  1 Ce 3.16, 4 Ac 3.34-3.37
Te: 0.0256 0.5000 0.0150  2 Ce 3.18-3.53, 1 Te 3.29, 2 Ac 3.52
Te: 0.1963 0.0000 0.2551  1 Te 3.01, 1 Ce 3.25, 2 Ac 3.37
Te: 0.2764 0.5000 0.6827  2 Te 3.01-3.29, 1 Ce 3.10

Computed properties:
DOS(E_F)	18.2	states/eV/cell
total energy	-79.91	eV for the cell shown
formation energy without anion corrections	-1.262	eV per atom


Record 4
An optimized crystal structure of AcCe2Te. Source: Alexandria via LeMat-Bulk, functional PBE-GGA.

a = 4.2139 Å, b = 4.2139 Å, c = 7.3036 Å
α = 90.00°, β = 90.00°, γ = 90.00°
With the nearest neighbours (Å) after each atom.
Space group P4/mmm (No. 123)
Unique sites:
Ac: 0.0000 0.0000 0.0000  2 Te 3.65, 8 Ce 3.79
Ce: 0.5000 0.5000 0.3199  1 Ce 2.63
Te: 0.0000 0.0000 0.5000  8 Ce 3.26

Computed properties:
DOS(E_F)	9.8	states/eV/cell
total energy	-21.27	eV for the cell shown
formation energy without anion corrections	-0.538	eV per atom


Record 5
An optimized crystal structure of AcCe2Te. Source: Alexandria via LeMat-Bulk, functional PBE-GGA.

a = 4.8890 Å, b = 4.8890 Å, c = 5.0022 Å
α = 90.00°, β = 90.00°, γ = 90.00°
With the nearest neighbours (Å) after each atom.
Space group P4/mmm (No. 123)
Unique sites:
Ac: 0.0000 0.0000 0.0000  4 Te 3.46, 8 Ce 3.50
Ce: 0.0000 0.5000 0.5000  4 Ce 3.46, 4 Te 3.50, 4 Ac 3.50
Te: 0.5000 0.5000 0.0000  4 Ac 3.46, 8 Ce 3.50

Computed properties:
DOS(E_F)	10.6	states/eV/cell
total energy	-20.94	eV for the cell shown
formation energy without anion corrections	-0.456	eV per atom


Record 6
An optimized crystal structure of AcCe4Te6. Source: Alexandria via LeMat-Bulk, functional PBE-GGA.

a = 4.4844 Å, b = 14.7207 Å, c = 22.9760 Å
α = 90.00°, β = 90.00°, γ = 90.00°
With the nearest neighbours (Å) after each atom.
Space group Cmcm (No. 63)
Unique sites:
Ac: 0.0000 0.1622 0.2500  6 Te 3.31-3.39
Ce: 0.0000 0.0885 0.6237  6 Te 3.13-3.19
Ce: 0.0000 0.3582 0.5366  6 Te 3.18-3.26
Te: 0.0000 0.0000 0.0000  6 Ce 3.13-3.18
Te: 0.0000 0.1728 0.7500  2 Ce 3.16, 2 Ac 3.31
Te: 0.0000 0.2671 0.0929  5 Ce 3.17-3.26
Te: 0.0000 0.4484 0.6647  3 Ce 3.19-3.23, 2 Ac 3.39

Computed properties:
DOS(E_F)	116.1	states/eV/cell
total energy	-248.61	eV for the cell shown
formation energy without anion corrections	-1.405	eV per atom


Record 7
An optimized crystal structure of Ac4CeTe5. Source: Alexandria via LeMat-Bulk, functional PBE-GGA.

a = 4.6925 Å, b = 6.6347 Å, c = 23.4437 Å
α = 90.00°, β = 90.00°, γ = 90.00°
With the nearest neighbours (Å) after each atom.
Space group Immm (No. 71)
Unique sites:
Ac: 0.0000 0.0000 0.0999  6 Te 3.31-3.35
Ac: 0.0000 0.0000 0.3044  6 Te 3.32-3.36
Ce: 0.0000 0.0000 0.5000  6 Te 3.22-3.32
Te: 0.0000 0.5000 0.0942  2 Ce 3.22, 4 Ac 3.32-3.34
Te: 0.0000 0.5000 0.2981  6 Ac 3.32-3.36
Te: 0.0000 0.5000 0.5000  4 Ac 3.31, 2 Ce 3.32

Computed properties:
DOS(E_F)	24.6	states/eV/cell
total energy	-105.31	eV for the cell shown
formation energy without anion corrections	-1.458	eV per atom


Record 8
An optimized crystal structure of AcCeTe. Source: Alexandria via LeMat-Bulk, functional PBE-GGA.

a = 5.4113 Å, b = 5.4113 Å, c = 4.1952 Å
α = 90.00°, β = 90.00°, γ = 120.00°
With the nearest neighbours (Å) after each atom.
Space group P-6m2 (No. 187)
Unique sites:
Ac: 0.0000 0.0000 0.0000  6 Ce 3.76, 6 Te 3.76, 2 Ac 4.20
Ce: 0.3333 0.6667 0.5000  3 Te 3.12
Te: 0.6667 0.3333 0.5000  3 Ce 3.12

Computed properties:
DOS(E_F)	8.6	states/eV/cell
total energy	-14.62	eV for the cell shown
formation energy without anion corrections	-0.479	eV per atom


Record 9
An optimized crystal structure of Ac5Ce2Te12. Source: Alexandria via LeMat-Bulk, functional PBE-GGA.

a = 18.2905 Å, b = 8.6280 Å, c = 10.5399 Å
α = 90.00°, β = 107.42°, γ = 90.00°
With the nearest neighbours (Å) after each atom.
Space group C2/m (No. 12)
Unique sites:
Ac: 0.0000 0.0000 0.0000  6 Te 3.23-3.38
Ac: 0.1834 0.5000 0.3272  7 Te 3.35-3.48
Ac: 0.2041 0.5000 0.8581  7 Te 3.38-3.47
Ce: 0.0000 0.2564 0.5000  6 Te 3.01-3.11
Te: 0.0009 0.0000 0.3065  2 Ce 3.01, 1 Ac 3.23
Te: 0.0066 0.5000 0.7205  2 Ce 3.11, 2 Ac 3.36-3.47
Te: 0.1478 0.2526 0.0650  4 Ac 3.38-3.42
Te: 0.1741 0.2604 0.5878  1 Ce 3.04, 1 Ac 3.35

Computed properties:
DOS(E_F)	36.2	states/eV/cell
total energy	-191.21	eV for the cell shown
formation energy without anion corrections	-1.342	eV per atom


Record 10
An optimized crystal structure of Ac3CeTe4. Source: Alexandria via LeMat-Bulk, functional PBE-GGA.

a = 8.1583 Å, b = 9.3017 Å, c = 8.0938 Å
α = 90.00°, β = 109.20°, γ = 90.00°
With the nearest neighbours (Å) after each atom.
Space group P2/c (No. 13)
Unique sites:
Ac: 0.0000 0.1250 0.2500  6 Te 3.31-3.38
Ac: 0.0000 0.3751 0.7500  6 Te 3.30-3.38
Ac: 0.5000 0.1269 0.7500  6 Te 3.30-3.32
Ce: 0.5000 0.3778 0.2500  6 Te 3.24-3.26
Te: 0.2557 0.1300 0.0057  1 Ce 3.26, 5 Ac 3.31-3.38
Te: 0.2584 0.3796 0.4989  2 Ce 3.24-3.25, 4 Ac 3.30-3.38

Computed properties:
DOS(E_F)	21.4	states/eV/cell
total energy	-84.89	eV for the cell shown
formation energy without anion corrections	-1.453	eV per atom


Record 11
An optimized crystal structure of Ac3CeTe4. Source: Alexandria via LeMat-Bulk, functional PBE-GGA.

a = 9.4205 Å, b = 13.2372 Å, c = 4.6483 Å
α = 90.00°, β = 90.00°, γ = 90.00°
With the nearest neighbours (Å) after each atom.
Space group Cmmm (No. 65)
Unique sites:
Ac: 0.0000 0.0000 0.0000  6 Te 3.37-3.38
Ac: 0.2500 0.2500 0.5000  6 Te 3.31
Ce: 0.0000 0.5000 0.0000  6 Te 3.24-3.25
Te: 0.0000 0.2550 0.0000  1 Ce 3.24, 5 Ac 3.31-3.38
Te: 0.2405 0.5000 0.5000  2 Ce 3.25, 4 Ac 3.31-3.37

Computed properties:
DOS(E_F)	22.1	states/eV/cell
total energy	-84.87	eV for the cell shown
formation energy without anion corrections	-1.451	eV per atom


Record 12
An optimized crystal structure of AcCe4Te5. Source: Alexandria via LeMat-Bulk, functional PBE-GGA.

a = 4.5083 Å, b = 6.4372 Å, c = 22.8633 Å
α = 90.00°, β = 90.00°, γ = 90.00°
With the nearest neighbours (Å) after each atom.
Space group Immm (No. 71)
Unique sites:
Ac: 0.0000 0.0000 0.0000  6 Te 3.22-3.31
Ce: 0.0000 0.0000 0.2040  6 Te 3.17-3.22
Ce: 0.0000 0.0000 0.3996  6 Te 3.18-3.22
Te: 0.0000 0.5000 0.0000  4 Ce 3.22, 2 Ac 3.22
Te: 0.0000 0.5000 0.1985  6 Ce 3.17-3.22
Te: 0.0000 0.5000 0.3942  4 Ce 3.18-3.22, 2 Ac 3.31

Computed properties:
DOS(E_F)	58.7	states/eV/cell
total energy	-114.68	eV for the cell shown
formation energy without anion corrections	-1.379	eV per atom